1.
! CuCl, optimized geometry, DFT PBE; values from VASP
! V: 24.67 A^3/atom
! Energy relative to the elements, uncorrected: -0.332 eV/atom
&SYSTEM
  ibrav = 0, nat = 12, ntyp = 2
/
ATOMIC_SPECIES
Cu 63.55 Cu.upf
Cl 35.45 Cl.upf
CELL_PARAMETERS angstrom
6.665 0.000 0.000
0.000 6.665 0.000
0.000 0.000 6.665
ATOMIC_POSITIONS angstrom
Cu 0.000 1.666 3.333
Cu 0.000 4.999 3.333
Cu 1.666 3.333 0.000
Cu 3.333 0.000 1.666
Cu 3.333 0.000 4.999
Cu 4.999 3.333 0.000
Cl 0.000 3.333 1.666
Cl 0.000 3.333 4.999
Cl 1.666 0.000 3.333
Cl 3.333 1.666 0.000
Cl 3.333 4.999 0.000
Cl 4.999 0.000 3.333

2.
! Cu3Cl, optimized geometry, DFT PBE; values from VASP
! V: 15.63 A^3/atom
! DOS at the Fermi energy: 1.50 states/eV/cell
! Energy relative to the elements, uncorrected: 0.272 eV/atom
&SYSTEM
  ibrav = 0, nat = 8, ntyp = 2
/
ATOMIC_SPECIES
Cu 63.55 Cu.upf
Cl 35.45 Cl.upf
CELL_PARAMETERS angstrom
3.395 -4.444 0.000
3.395 4.444 0.000
0.000 0.000 4.142
ATOMIC_POSITIONS angstrom
Cu 1.211 0.644 3.107
Cu 3.395 2.853 3.107
Cu 1.211 -0.644 1.036
Cu 5.579 0.644 3.107
Cu 3.395 -2.853 1.036
Cu 5.579 -0.644 1.036
Cl 3.395 1.322 1.036
Cl 3.395 -1.322 3.107

3.
! Cu3Cl, optimized geometry, DFT PBE; values from VASP
! V: 14.48 A^3/atom
! DOS at the Fermi energy: 0.62 states/eV/cell
! Energy relative to the elements, uncorrected: 0.360 eV/atom
&SYSTEM
  ibrav = 0, nat = 4, ntyp = 2
/
ATOMIC_SPECIES
Cu 63.55 Cu.upf
Cl 35.45 Cl.upf
CELL_PARAMETERS angstrom
-1.768 1.768 4.634
1.768 -1.768 4.634
1.768 1.768 -4.634
ATOMIC_POSITIONS angstrom
Cu 0.000 0.000 0.000
Cu 1.768 0.000 2.317
Cu 0.000 1.768 2.317
Cl 0.000 0.000 4.634

4.
! CuCl, optimized geometry, DFT PBE; values from VASP
! V: 16.24 A^3/atom
! DOS at the Fermi energy: 1.65 states/eV/cell
! Energy relative to the elements, uncorrected: 0.051 eV/atom
&SYSTEM
  ibrav = 0, nat = 2, ntyp = 2
/
ATOMIC_SPECIES
Cu 63.55 Cu.upf
Cl 35.45 Cl.upf
CELL_PARAMETERS angstrom
3.191 0.000 0.000
0.000 3.191 0.000
0.000 0.000 3.191
ATOMIC_POSITIONS angstrom
Cu 0.000 0.000 0.000
Cl 1.595 1.595 1.595

5.
! Dy2CuCl, optimized geometry, DFT PBE; values from VASP
! V: 23.47 A^3/atom
! DOS at the Fermi energy: 2.45 states/eV/cell
! Energy relative to the elements, uncorrected: -0.741 eV/atom
&SYSTEM
  ibrav = 0, nat = 4, ntyp = 3
/
ATOMIC_SPECIES
Dy 162.50 Dy.upf
Cu 63.55 Cu.upf
Cl 35.45 Cl.upf
CELL_PARAMETERS angstrom
1.984 1.146 6.882
-1.984 1.146 6.882
0.000 -2.291 6.882
ATOMIC_POSITIONS angstrom
Dy 0.000 0.000 4.998
Dy 0.000 0.000 15.649
Cu 0.000 0.000 10.324
Cl 0.000 0.000 0.000

6.
! DyCu3Cl9, optimized geometry, DFT PBE; values from VASP
! V: 28.81 A^3/atom
! DOS at the Fermi energy: 14.43 states/eV/cell
! Energy relative to the elements, uncorrected: -0.965 eV/atom
&SYSTEM
  ibrav = 0, nat = 26, ntyp = 3
/
ATOMIC_SPECIES
Dy 162.50 Dy.upf
Cu 63.55 Cu.upf
Cl 35.45 Cl.upf
CELL_PARAMETERS angstrom
9.374 -3.744 0.000
9.374 3.744 0.000
-7.883 0.000 10.672
ATOMIC_POSITIONS angstrom
Dy 5.433 1.929 5.336
Dy 9.374 -1.929 0.000
Cu -3.886 1.027 8.964
Cu 1.391 0.765 7.129
Cu 0.055 -1.027 3.628
Cu 5.332 -0.765 1.793
Cu 12.153 0.323 2.505
Cu 8.211 -0.323 7.841
Cl 0.916 0.324 1.967
Cl 7.160 2.861 3.548
Cl 4.580 0.846 0.443
Cl -3.025 -0.324 7.303
Cl 3.637 0.982 7.063
Cl 4.406 0.132 3.690
Cl 0.639 -0.846 5.779
Cl 0.464 -0.132 9.026
Cl 10.141 0.593 3.421
Cl 7.578 -0.982 1.727
Cl 7.295 0.020 5.826
Cl 11.237 -0.020 0.490
Cl 14.098 0.835 1.544
Cl 6.199 -0.593 8.757
Cl 13.085 0.080 4.552
Cl 9.143 -0.080 9.888
Cl 3.219 -2.861 8.884
Cl 10.157 -0.835 6.880